# 1
# RuCClO2 PBE-GGA relaxed
data_RuCClO2
_chemical_formula_sum 'Ru1 C1 Cl1 O2'
_cell_length_a 3.690
_cell_length_b 3.690
_cell_length_c 5.650
_cell_angle_alpha 90.00
_cell_angle_beta 90.00
_cell_angle_gamma 90.00
_space_group_name_H-M_alt 'P 4/m m m'
_space_group_IT_number 123
_space_group_name_Hall '-P 4 2'
loop_
_atom_site_label
_atom_site_fract_x
_atom_site_fract_y
_atom_site_fract_z
Ru1 0.000 0.000 0.000
C1 0.500 0.500 0.500
Cl1 0.000 0.000 0.500
O1 0.000 0.500 0.000
# Crystal system ... tetragonal
# Size of the total moment ... 1.31 μB/f.u.
# Excess energy over the best structure of this formula in the dataset ... 0.0 meV per atom
# Raw formation energy ... 0.83 eV per atom

---

# 2
# Be2VPd PBE-GGA relaxed
data_Be2VPd
_chemical_formula_sum 'Be8 V4 Pd4'
_cell_length_a 6.203
_cell_length_b 6.203
_cell_length_c 5.055
_cell_angle_alpha 90.00
_cell_angle_beta 90.00
_cell_angle_gamma 90.00
_space_group_name_H-M_alt 'I -4 2 d'
_space_group_IT_number 122
_space_group_name_Hall 'I -4 2bw'
loop_
_atom_site_label
_atom_site_fract_x
_atom_site_fract_y
_atom_site_fract_z
Be1 0.238 0.250 0.125
V1 0.000 0.000 0.500
Pd1 0.000 0.000 0.000
# Formation energy from the elements ... 0.24 eV per atom
# Crystal system ... tetragonal
# Size of the total moment ... 0.00 μB/f.u.
# Excess energy over the best structure of this formula in the dataset ... 501.7 meV per atom

---

# 3
# AgMo2W PBE-GGA relaxed
data_AgMo2W
_chemical_formula_sum 'Ag2 Mo4 W2'
_cell_length_a 9.495
_cell_length_b 2.655
_cell_length_c 5.209
_cell_angle_alpha 90.00
_cell_angle_beta 95.87
_cell_angle_gamma 90.00
_space_group_name_H-M_alt 'C 1 m 1'
_space_group_IT_number 8
_space_group_name_Hall 'C -2y'
loop_
_atom_site_label
_atom_site_fract_x
_atom_site_fract_y
_atom_site_fract_z
Ag1 0.000 0.000 0.000
Mo1 0.252 0.000 0.752
Mo2 0.499 0.000 0.500
W1 0.248 0.500 0.250
# Formation energy from the elements ... 0.48 eV per atom
# Crystal system ... monoclinic
# Size of the total moment ... 0.00 μB/f.u.
# Excess energy over the best structure of this formula in the dataset ... 238.5 meV per atom